1.
A relaxed structure of KUSb2S8, computed with PBE.

```
KUSb2S8
1.0
7.4604 0.0000 0.0000
-3.7302 6.4609 0.0000
0.0000 0.0000 8.7212
K U Sb S
1 1 2 8
Direct
0.0000 0.0000 0.0000 K
0.0000 0.0000 0.5000 U
0.3333 0.6667 0.2264 Sb
0.6667 0.3333 0.7736 Sb
0.1536 0.3071 0.3152 S
0.1536 0.8464 0.3152 S
0.3071 0.1536 0.6848 S
0.3333 0.6667 0.9673 S
0.6667 0.3333 0.0327 S
0.6929 0.8464 0.3152 S
0.8464 0.1536 0.6848 S
0.8464 0.6929 0.6848 S
```

Output
E_tot in eV per atom: -4.83
M_tot in μB/cell: 0.9
Space-group type: No. 164
Crystal system: trigonal

---

2.
A relaxed structure of K2USb2S6, computed with PBE.

```
K2USb2S6
1.0
3.5156 -6.0553 0.0000
3.5156 6.0553 0.0000
-2.4115 0.0000 7.5113
K U Sb S
2 1 2 6
Direct
0.1697 0.8303 0.0000 K
0.8303 0.1697 0.0000 K
0.0000 0.0000 0.5000 U
0.3305 0.6695 0.5000 Sb
0.6695 0.3305 0.5000 Sb
0.0639 0.3946 0.6957 S
0.2515 0.2515 0.3046 S
0.3946 0.0639 0.6957 S
0.6054 0.9361 0.3043 S
0.7485 0.7485 0.6954 S
0.9361 0.6054 0.3043 S
```

Output
E_tot in eV per atom: -5.13
M_tot in μB/cell: 2.0
Space-group type: No. 12
Crystal system: monoclinic

---

3.
A relaxed structure of K2VSbS4, computed with PBE.

```
K2VSbS4
1.0
-3.8326 3.8326 3.8536
3.8326 -3.8326 3.8536
3.8326 3.8326 -3.8536
K V Sb S
2 1 1 4
Direct
0.0000 0.0000 0.0000 K
0.7500 0.2500 0.5000 K
0.2500 0.7500 0.5000 V
0.5000 0.5000 0.0000 Sb
0.2545 0.7086 0.1607 S
0.2914 0.4521 0.5459 S
0.5479 0.0938 0.8393 S
0.9062 0.7455 0.4541 S
```

Output
E_tot in eV per atom: -4.80
M_tot in μB/cell: 0.1
Space-group type: No. 82
Crystal system: tetragonal

---

4.
A relaxed structure of KSbW2S, computed with PBE.

```
KSbW2S
1.0
4.5215 0.0000 0.0000
0.0000 4.5215 0.0000
0.0000 0.0000 5.6514
K Sb W S
1 1 2 1
Direct
0.0000 0.0000 0.0000 K
0.5000 0.5000 0.0000 Sb
0.0000 0.5000 0.5000 W
0.5000 0.0000 0.5000 W
0.5000 0.5000 0.5000 S
```

Output
E_tot in eV per atom: -5.90
M_tot in μB/cell: 0.0
Space-group type: No. 123
Crystal system: tetragonal

---

Number 4 is which compound? KSbW2S